The following is a DFT calculation (PBE) of an optimized crystal structure of SrTi3Pt.

Cell: 4.6210 4.6210 4.6210 Å, 90.00 90.00 90.00°
With the nearest neighbours (Å) after each atom.
Element x y z (fractional)
Sr 0.0000 0.0000 0.0000  6 Ti 2.31
Pt 0.5000 0.5000 0.5000  12 Ti 3.27
Ti 0.0000 0.5000 0.0000  2 Sr 2.31
Ti 0.0000 0.0000 0.5000  2 Sr 2.31
Ti 0.5000 0.0000 0.0000  2 Sr 2.31

Results
* symmetry: No. 221
* calculated formation energy: 857.2 kJ/mol of formula units
* Fermi-level density of states: 1.627 states/eV/atom

***

The following is a DFT calculation (PBE) of an optimized crystal structure of Nb2ZnCr2Ru5.

Cell: 3.4724 9.2599 9.2599 Å, 90.00 90.00 90.00°
With the nearest neighbours (Å) after each atom.
Element x y z (fractional)
Nb 0.0000 0.6732 0.1732  3 Cr 2.57-2.84, 2 Ru 2.86
Nb 0.0000 0.3268 0.8268  3 Cr 2.57-2.84, 2 Ru 2.86
Nb 0.0000 0.1732 0.3268  3 Cr 2.57-2.84, 2 Ru 2.86
Nb 0.0000 0.8268 0.6732  3 Cr 2.57-2.84, 2 Ru 2.86
Zn 0.0000 0.0000 0.0000  8 Ru 2.64
Zn 0.0000 0.5000 0.5000  8 Ru 2.64
Cr 0.0000 0.1303 0.6303  6 Ru 2.39-2.43, 1 Nb 2.57
Cr 0.0000 0.8697 0.3697  6 Ru 2.39-2.43, 1 Nb 2.57
Cr 0.0000 0.6303 0.8697  6 Ru 2.39-2.43, 1 Nb 2.57
Cr 0.0000 0.3697 0.1303  6 Ru 2.39-2.43, 1 Nb 2.57
Ru 0.5000 0.2040 0.0660  2 Cr 2.39, 2 Zn 2.64
Ru 0.5000 0.7960 0.9340  2 Cr 2.39, 2 Zn 2.64
Ru 0.5000 0.0660 0.7960  2 Cr 2.39, 2 Zn 2.64
Ru 0.5000 0.7040 0.4340  2 Cr 2.39, 2 Zn 2.64
Ru 0.5000 0.9340 0.2040  2 Cr 2.39, 2 Zn 2.64
Ru 0.5000 0.2960 0.5660  2 Cr 2.39, 2 Zn 2.64
Ru 0.5000 0.5660 0.7040  2 Cr 2.39, 2 Zn 2.64
Ru 0.5000 0.4340 0.2960  2 Cr 2.39, 2 Zn 2.64
Ru 0.5000 0.5000 0.0000  4 Cr 2.43
Ru 0.5000 0.0000 0.5000  4 Cr 2.43

Results
* symmetry: No. 127
* calculated formation energy: 63.1 kJ/mol of formula units
* Fermi-level density of states: 0.919 states/eV/atom

***

The following is a DFT calculation (PBE) of an optimized crystal structure of BeCu2Mo.

Cell: 3.3988 3.3988 9.2029 Å, 79.36 79.36 90.00°
With the nearest neighbours (Å) after each atom.
Element x y z (fractional)
Be 0.5000 0.5000 0.0000  4 Mo 2.40, 4 Cu 2.51
Be 0.2500 0.7500 0.5000  4 Mo 2.40, 4 Cu 2.51
Mo 0.0000 0.0000 0.0000  4 Be 2.40, 4 Cu 2.54
Mo 0.7500 0.2500 0.5000  4 Be 2.40, 4 Cu 2.54
Cu 0.6111 0.1250 0.2500  4 Cu 2.34-2.47, 2 Be 2.51, 2 Mo 2.54
Cu 0.1389 0.6250 0.2500  4 Cu 2.34-2.47, 2 Be 2.51, 2 Mo 2.54
Cu 0.3750 0.3889 0.7500  4 Cu 2.34-2.47, 2 Be 2.51, 2 Mo 2.54
Cu 0.8750 0.8611 0.7500  4 Cu 2.34-2.47, 2 Be 2.51, 2 Mo 2.54

Results
* symmetry: No. 122
* calculated formation energy: 192.3 kJ/mol of formula units
* Fermi-level density of states: 0.588 states/eV/atom

***

The following is a DFT calculation (PBE) of an optimized crystal structure of NbI.

Cell: 3.3170 3.3170 5.0662 Å, 109.10 70.90 90.03°
With the nearest neighbours (Å) after each atom.
Element x y z (fractional)
I 0.1936 0.8555 0.5321  5 Nb 2.83-2.87
Nb 0.5089 0.5402 0.9017  5 I 2.83-2.87

Results
* formation energy from raw total energies: 780 meV/atom
* symmetry: No. 107
* Fermi-level density of states: 0.760 states/eV/atom

***

The following is a DFT calculation (PBE) of an optimized crystal structure of LiCaTi2.

Cell: 4.9212 4.9212 4.9212 Å, 60.00 60.00 60.00°
With the nearest neighbours (Å) after each atom.
Element x y z (fractional)
Ca 0.5000 0.5000 0.5000  8 Ti 3.01
Li 0.0000 0.0000 0.0000  8 Ti 3.01
Ti 0.2500 0.2500 0.2500  4 Li 3.01, 4 Ca 3.01
Ti 0.7500 0.7500 0.7500  4 Li 3.01, 4 Ca 3.01

Results
* symmetry: No. 225
* calculated formation energy: 301.7 kJ/mol of formula units
* Fermi-level density of states: 2.020 states/eV/atom

***

The following is a DFT calculation (PBE) of an optimized crystal structure of CeCu3Si3.

Cell: 6.3929 6.3929 6.3929 Å, 90.00 90.00 90.00°
With the nearest neighbours (Å) after each atom.
Element x y z (fractional)
Si 0.0000 0.2500 0.5000  4 Cu 2.26
Si 0.0000 0.7500 0.5000  4 Cu 2.26
Si 0.5000 0.0000 0.7500  4 Cu 2.26
Si 0.7500 0.5000 0.0000  4 Cu 2.26
Si 0.5000 0.0000 0.2500  4 Cu 2.26
Si 0.2500 0.5000 0.0000  4 Cu 2.26
Cu 0.2500 0.0000 0.5000  4 Si 2.26
Cu 0.0000 0.5000 0.2500  4 Si 2.26
Cu 0.5000 0.7500 0.0000  4 Si 2.26
Cu 0.7500 0.0000 0.5000  4 Si 2.26
Cu 0.0000 0.5000 0.7500  4 Si 2.26
Cu 0.5000 0.2500 0.0000  4 Si 2.26
Ce 0.5000 0.5000 0.5000  12 Si 3.57, 12 Cu 3.57
Ce 0.0000 0.0000 0.0000  12 Cu 3.57, 12 Si 3.57

Results
* formation energy from raw total energies: 18 meV/atom
* symmetry: No. 223
* Fermi-level density of states: 1.090 states/eV/atom

***

The following is a DFT calculation (PBE) of an optimized crystal structure of HgTeBrN2.

Cell: 4.3685 4.3685 6.6704 Å, 90.00 90.00 90.00°
With the nearest neighbours (Å) after each atom.
Element x y z (fractional)
Te 0.0000 0.0000 0.5000  4 Br 3.09, 2 Hg 3.34
Hg 0.0000 0.0000 0.0000  4 N 2.18
Br 0.5000 0.5000 0.5000  4 Te 3.09
N 0.0000 0.5000 0.0000  2 Hg 2.18
N 0.5000 0.0000 0.0000  2 Hg 2.18

Results
* formation energy from raw total energies: 1763 meV/atom
* symmetry: No. 123
* Fermi-level density of states: 0.450 states/eV/atom

***

The following is a DFT calculation (PBE) of an optimized crystal structure of MoAu2.

Cell: 13.7127 13.7127 13.7127 Å, 168.36 168.36 16.49°
With the nearest neighbours (Å) after each atom.
Element x y z (fractional)
Mo 0.0000 0.0000 0.0000  4 Mo 2.78, 8 Au 2.89
Mo 0.7500 0.2500 0.5000  4 Mo 2.78, 8 Au 2.89
Au 0.3281 0.8281 0.5000  6 Au 2.78-2.90, 4 Mo 2.89
Au 0.1719 0.6719 0.5000  6 Au 2.78-2.90, 4 Mo 2.89
Au 0.5781 0.5781 0.0000  6 Au 2.78-2.90, 4 Mo 2.89
Au 0.4219 0.4219 0.0000  6 Au 2.78-2.90, 4 Mo 2.89

Results
* symmetry: No. 141
* calculated formation energy: 63.3 kJ/mol of formula units
* Fermi-level density of states: 0.449 states/eV/atom

***

The following is a DFT calculation (PBE) of an optimized crystal structure of CuTc3O12.

Cell: 8.6563 8.6563 10.4149 Å, 65.44 65.44 60.00°
With the nearest neighbours (Å) after each atom.
Element x y z (fractional)
Cu 0.0878 0.0878 0.7367  6 O 1.98-1.99
Cu 0.5878 0.5878 0.2367  6 O 1.98-1.99
Tc 0.7229 0.3090 0.0054  4 O 1.71-1.78
Tc 0.2229 0.4627 0.5054  4 O 1.71-1.78
Tc 0.8090 0.2229 0.5054  4 O 1.71-1.78
Tc 0.3090 0.9627 0.0054  4 O 1.71-1.78
Tc 0.9627 0.7229 0.0054  4 O 1.71-1.78
Tc 0.4627 0.8090 0.5054  4 O 1.71-1.78
O 0.1056 0.0833 0.1125  1 Tc 1.71
O 0.2390 0.2350 0.6100  1 Tc 1.78, 1 Cu 1.98
O 0.9524 0.0326 0.4391  1 Tc 1.71
O 0.9277 0.2668 0.8582  1 Tc 1.78, 1 Cu 1.99
O 0.4277 0.4474 0.3582  1 Tc 1.78, 1 Cu 1.99
O 0.4524 0.0758 0.9391  1 Tc 1.71
O 0.7390 0.4160 0.1100  1 Tc 1.78, 1 Cu 1.98
O 0.0326 0.5758 0.4391  1 Tc 1.71
O 0.6056 0.1986 0.6125  1 Tc 1.71
O 0.9160 0.2390 0.6100  1 Tc 1.78, 1 Cu 1.98
O 0.7668 0.4277 0.3582  1 Tc 1.78, 1 Cu 1.99
O 0.1986 0.5833 0.6125  1 Tc 1.71
O 0.0758 0.5326 0.9391  1 Tc 1.71
O 0.6986 0.1056 0.1125  1 Tc 1.71
O 0.2668 0.9474 0.8582  1 Tc 1.78, 1 Cu 1.99
O 0.4160 0.7350 0.1100  1 Tc 1.78, 1 Cu 1.98
O 0.7350 0.7390 0.1100  1 Tc 1.78, 1 Cu 1.98
O 0.5326 0.4524 0.9391  1 Tc 1.71
O 0.5833 0.6056 0.6125  1 Tc 1.71
O 0.9474 0.9277 0.8582  1 Tc 1.78, 1 Cu 1.99
O 0.4474 0.7668 0.3582  1 Tc 1.78, 1 Cu 1.99
O 0.0833 0.6986 0.1125  1 Tc 1.71
O 0.2350 0.9160 0.6100  1 Tc 1.78, 1 Cu 1.98
O 0.5758 0.9524 0.4391  1 Tc 1.71

Results
* formation energy from raw total energies: -1118 meV/atom
* symmetry: No. 161

***

The following is a DFT calculation (PBE) of an optimized crystal structure of K2Ag2Hg.

Cell: 3.9578 3.9578 10.7537 Å, 79.40 79.40 90.00°
With the nearest neighbours (Å) after each atom.
Element x y z (fractional)
K 0.3868 0.3868 0.2265  4 Ag 3.46, 4 Hg 3.66
K 0.6132 0.6132 0.7735  4 Ag 3.46, 4 Hg 3.66
Hg 0.0000 0.0000 0.0000  8 K 3.66, 4 Hg 3.96
Ag 0.7500 0.2500 0.5000  4 Ag 2.80
Ag 0.2500 0.7500 0.5000  4 Ag 2.80

Results
* symmetry: No. 139
* calculated formation energy: -8.3 kJ/mol of formula units
* Fermi-level density of states: 0.439 states/eV/atom

***

| no. | raw total energy (eV per cell) |
| --- | --- |
| 1 | -22.5 |
| 2 | -172.8 |
| 3 | -41.5 |
| 4 | -10.1 |
| 5 | -16.6 |
| 6 | -68.7 |
| 7 | -13.0 |
| 8 | -33.5 |
| 9 | -225.2 |
| 10 | -8.3 |